1.
# CrIn2As

A PBEsol-optimized structure of CrIn2As (SCAN, Alexandria).

Cell: 3.063 3.063 8.208 Å, 90.00 90.00 90.00°
Space group P4/mmm (No. 123)
Asymmetric unit:
Cr  0.000  0.000  0.000 (multiplicity 1)
In  0.500  0.500  0.220 (multiplicity 2)
As  0.000  0.000  0.500 (multiplicity 1)

Values from the calculation:
Mass density (g/cm3): 7.7
Uncorrected energy (eV for the cell shown): -104.22
Energy relative to the elements (eV/atom): 0.283
Size of the total moment (μB per formula unit): 3.69

2.
# TeOsSeI2

A PBEsol-optimized structure of TeOsSeI2 (SCAN, Alexandria).

Cell: 5.310 5.310 5.030 Å, 90.00 90.00 90.00°
Space group P4/mmm (No. 123)
Asymmetric unit:
Te  0.000  0.000  0.000 (multiplicity 1)
Os  0.000  0.000  0.500 (multiplicity 1)
Se  0.500  0.500  0.000 (multiplicity 1)
I  0.000  0.500  0.500 (multiplicity 2)

Values from the calculation:
Mass density (g/cm3): 7.6
Uncorrected energy (eV for the cell shown): -198.45
E_form (uncorrected) (eV/atom): 0.849
Size of the total moment (μB per formula unit): 0.00

3.
# TaNiAg2Pb

A PBEsol-optimized structure of TaNiAg2Pb (SCAN, Alexandria).

Cell: 5.124 5.124 4.498 Å, 90.00 90.00 90.00°
Space group P4/mmm (No. 123)
Asymmetric unit:
Ta  0.000  0.000  0.000 (multiplicity 1)
Ni  0.000  0.000  0.500 (multiplicity 1)
Ag  0.000  0.500  0.000 (multiplicity 2)
Pb  0.500  0.500  0.500 (multiplicity 1)

Values from the calculation:
Mass density (g/cm3): 9.3
Uncorrected energy (eV for the cell shown): -214.84
Energy relative to the elements (eV/atom): 1.287
Size of the total moment (μB per formula unit): 0.00

Calculated DOS at the Fermi energy (states/eV/atom), listed in the same order as above: 0.5916 1.0332 1.0299